# 1
DFT (PBE-GGA) results for a geometry-optimized PuTl2PdCl6 structure.

DOS at the Fermi energy ... 28.30 states/eV/cell
Crystal system ... orthorhombic
Raw formation energy ... -1.148 eV/atom
SG ... Pmmn, No. 59

Lattice parameters (Å, degrees): 7.550 7.450 10.696 90.00 90.00 90.00
Element x y z (fractional)
Cl  0.743  0.002  0.000
Pd  0.500  0.258  0.000
Cl  0.762  0.488  0.500
Pu  0.500  0.248  0.500
Cl  0.238  0.488  0.500
Cl  0.000  0.767  0.750
Cl  0.757  0.998  0.500
Cl  0.500  0.233  0.250
Cl  0.257  0.002  0.000
Tl  0.000  0.219  0.709
Cl  0.500  0.233  0.750
Cl  0.738  0.512  0.000
Cl  0.243  0.998  0.500
Cl  0.262  0.512  0.000
Pd  0.000  0.742  0.500
Cl  0.000  0.767  0.250
Pu  0.000  0.752  0.000
Tl  0.500  0.781  0.791
Tl  0.500  0.781  0.209
Tl  0.000  0.219  0.291

***

# 2
DFT (PBE-GGA) results for a geometry-optimized CoAg2GeP structure.

DOS at the Fermi energy ... 4.37 states/eV/cell
Crystal system ... tetragonal
SG ... P4/mmm, No. 123
ΔH_f (0 K) ... 0.97 eV per atom

Lattice parameters (Å, degrees): 4.846 4.394 4.846 90.00 90.00 90.00
Element x y z (fractional)
P  0.500  0.500  0.500
Ge  0.000  0.000  0.000
Co  0.000  0.500  0.000
Ag  0.000  0.000  0.500
Ag  0.500  0.000  0.000